A relaxed K6Co2O5 crystal, computed with PBE+U.

Computed properties:
* uncorrected energy: -4.392 eV/atom

abc: 6.668 6.668 11.990
angles: 90.00 90.00 90.00
Positions (direct):
K 0.000 0.000 0.219
K 0.000 0.000 0.781
K 0.000 0.500 0.250
K 0.000 0.500 0.750
K 0.181 0.181 0.500
K 0.319 0.681 0.000
K 0.500 0.000 0.250
K 0.500 0.000 0.750
K 0.500 0.500 0.281
K 0.500 0.500 0.719
K 0.681 0.319 0.000
K 0.819 0.819 0.500
Co 0.207 0.207 0.000
Co 0.293 0.707 0.500
Co 0.707 0.293 0.500
Co 0.793 0.793 0.000
O 0.000 0.000 0.000
O 0.210 0.790 0.362
O 0.210 0.790 0.638
O 0.290 0.290 0.138
O 0.290 0.290 0.862
O 0.500 0.500 0.500
O 0.710 0.710 0.138
O 0.710 0.710 0.862
O 0.790 0.210 0.362
O 0.790 0.210 0.638